(1)
A plane-wave DFT calculation with SCAN was carried out for a PBEsol-optimized structure of TlCo2Ru.

The structure in POSCAR format:
```
TlCo2Ru
1.0
-1.4404 -2.0254 1.6946
3.6002 -0.6916 2.2336
-2.1909 4.4470 0.7830
Tl Co Ru
1 2 1
Direct
0.2599 0.7599 0.5198 Tl
0.7356 0.2356 0.4713 Co
0.0179 0.0179 0.0359 Co
0.4865 0.4865 0.9730 Ru
```

Results
Magnetization ... 1.2221 μB per atom
D(E_F) ... 2.6 states/eV/f.u.
Formation energy ... 46 kJ/mol of atoms
DFT total energy ... -2.5707 Ry per atom



(2)
A plane-wave DFT calculation with SCAN was carried out for a PBEsol-optimized structure of Hf2SiS.

The structure in POSCAR format:
```
Hf2SiS
1.0
4.5622 0.0000 0.0000
2.2811 3.9509 0.0000
2.2811 1.3170 3.7250
Hf Si S
2 1 1
Direct
0.7500 0.7500 0.7500 Hf
0.2500 0.2500 0.2500 Hf
0.0000 0.0000 0.0000 Si
0.5000 0.5000 0.5000 S
```

Results
Magnetization ... 0.0004 μB per atom
D(E_F) ... 4.5 states/eV/f.u.
DFT total energy ... -2.7073 Ry per atom



(3)
A plane-wave DFT calculation with SCAN was carried out for a PBEsol-optimized structure of CaBi2B.

The structure in POSCAR format:
```
CaBi2B
1.0
-1.2442 2.8127 5.6284
-5.4656 -0.8881 -3.2368
2.7985 -5.6772 1.0373
Bi B Ca
4 2 2
Direct
0.7888 0.8750 0.4138 Bi
0.1250 0.5388 0.9138 Bi
0.6250 0.2112 0.0862 Bi
0.4612 0.3750 0.5862 Bi
0.5000 0.5000 0.0000 B
0.7500 0.2500 0.5000 B
0.2500 0.7500 0.5000 Ca
0.0000 0.0000 0.0000 Ca
```

Results
Magnetization ... 0.0000 μB per atom
D(E_F) ... 1.8 states/eV/f.u.
Formation energy ... 17 kJ/mol of atoms
DFT total energy ... -3.1889 Ry per atom



(4)
A plane-wave DFT calculation with SCAN was carried out for a PBEsol-optimized structure of Ho6MnGe2S14.

The structure in POSCAR format:
```
Ho6MnGe2S14
1.0
-2.6612 3.4155 -3.6566
-7.0623 -6.5178 -0.9482
-0.6057 6.8195 6.8107
S Ho Mn Ge
14 6 1 2
Direct
0.2782 0.1827 0.4272 S
0.5114 0.8230 0.2374 S
0.7840 0.7603 0.9101 S
0.2364 0.0000 0.0000 S
0.7840 0.1498 0.2397 S
0.2782 0.2444 0.8173 S
0.9944 0.5689 0.0818 S
0.2782 0.5728 0.7556 S
0.9944 0.9182 0.4871 S
0.7301 0.3333 0.6667 S
0.9944 0.5129 0.4311 S
0.5114 0.4145 0.1771 S
0.7840 0.0899 0.8502 S
0.5114 0.7626 0.5855 S
0.0414 0.8892 0.1986 Ho
0.5367 0.4424 0.4676 Ho
0.5367 0.0252 0.5576 Ho
0.0414 0.8014 0.6907 Ho
0.5367 0.5324 0.9748 Ho
0.0414 0.3093 0.1108 Ho
0.7583 0.6667 0.3333 Mn
0.1142 0.3333 0.6667 Ge
0.6213 0.0000 0.0000 Ge
```

Results
Magnetization ... 0.2174 μB per atom
DFT total energy ... -1.6780 Ry per atom



(5)
A plane-wave DFT calculation with SCAN was carried out for a PBEsol-optimized structure of SrPd3Br.

The structure in POSCAR format:
```
SrPd3Br
1.0
-4.8009 -0.1056 -0.4229
0.2550 -4.4741 -1.7765
-0.3536 -1.7916 4.4614
Pd Br Sr
3 1 1
Direct
0.0000 0.0000 0.5000 Pd
0.0000 0.5000 0.0000 Pd
0.5000 0.0000 0.0000 Pd
0.0000 0.0000 0.0000 Br
0.5000 0.5000 0.5000 Sr
```

Results
Magnetization ... 0.0000 μB per atom
D(E_F) ... 2.6 states/eV/f.u.
DFT total energy ... -2.0619 Ry per atom



(6)
A plane-wave DFT calculation with SCAN was carried out for a PBEsol-optimized structure of NaCu2SI.

The structure in POSCAR format:
```
NaCu2SI
1.0
4.5640 0.0000 0.0000
0.0000 5.0194 0.0000
0.0000 0.0000 5.0194
I Cu S Na
1 2 1 1
Direct
0.5000 0.5000 0.5000 I
0.0000 0.5000 0.0000 Cu
0.0000 0.0000 0.5000 Cu
0.5000 0.0000 0.0000 S
0.0000 0.0000 0.0000 Na
```

Results
Magnetization ... 0.0003 μB per atom
D(E_F) ... 3.3 states/eV/f.u.
DFT total energy ... -1.1163 Ry per atom



(7)
A plane-wave DFT calculation with SCAN was carried out for a PBEsol-optimized structure of CdSi2Br.

The structure in POSCAR format:
```
CdSi2Br
1.0
3.1529 0.0000 0.0000
0.0000 3.1529 0.0000
0.0000 0.0000 7.9154
Cd Si Br
1 2 1
Direct
0.5000 0.5000 0.5000 Cd
0.0000 0.0000 0.7434 Si
0.0000 0.0000 0.2566 Si
0.5000 0.5000 0.0000 Br
```

Results
Magnetization ... 0.0000 μB per atom
D(E_F) ... 1.8 states/eV/f.u.
DFT total energy ... -1.2303 Ry per atom



(8)
A plane-wave DFT calculation with SCAN was carried out for a PBEsol-optimized structure of BeZnPt2.

The structure in POSCAR format:
```
BeZnPt2
1.0
-1.1749 2.4391 -0.7484
-2.8402 -1.3035 0.2107
-0.3024 1.5546 5.5409
Pt Be Zn
2 1 1
Direct
0.0000 0.0000 0.2673 Pt
0.0000 0.0000 0.7327 Pt
0.5000 0.5000 0.5000 Be
0.5000 0.5000 0.0000 Zn
```

Results
Magnetization ... 0.0000 μB per atom
D(E_F) ... 0.7 states/eV/f.u.
Formation energy ... -69 kJ/mol of atoms
DFT total energy ... -2.9606 Ry per atom



(9)
A plane-wave DFT calculation with SCAN was carried out for a PBEsol-optimized structure of GePdRuN2.

The structure in POSCAR format:
```
GePdRuN2
1.0
3.6843 0.0000 0.0000
0.0000 3.6843 0.0000
0.0000 0.0000 5.3422
Ge N Pd Ru
1 2 1 1
Direct
0.5000 0.5000 0.5000 Ge
0.0000 0.5000 0.0000 N
0.5000 0.0000 0.0000 N
0.0000 0.0000 0.5000 Pd
0.0000 0.0000 0.0000 Ru
```

Results
Magnetization ... 0.0000 μB per atom
D(E_F) ... 1.5 states/eV/f.u.
DFT total energy ... -1.4981 Ry per atom



(10)
A plane-wave DFT calculation with SCAN was carried out for a PBEsol-optimized structure of Eu2SnS4.

The structure in POSCAR format:
```
Eu2SnS4
1.0
7.1274 0.0000 0.0000
0.0000 8.0586 0.0000
0.0000 0.0000 11.2868
S Eu Sn
16 8 4
Direct
0.2351 0.0000 0.0546 S
0.1300 0.2500 0.7904 S
0.1300 0.7500 0.7904 S
0.2352 0.5000 0.0546 S
0.8700 0.2500 0.2096 S
0.3700 0.2500 0.2904 S
0.7648 0.5000 0.9454 S
0.3700 0.7500 0.2904 S
0.6300 0.7500 0.7096 S
0.2649 0.5000 0.5546 S
0.8700 0.7500 0.2096 S
0.2649 0.0000 0.5546 S
0.7351 0.0000 0.4454 S
0.7649 0.0000 0.9454 S
0.6300 0.2500 0.7096 S
0.7351 0.5000 0.4454 S
0.0915 0.0000 0.3183 Eu
0.4085 0.0000 0.8184 Eu
0.4085 0.5000 0.8184 Eu
0.9085 0.5000 0.6816 Eu
0.5915 0.5000 0.1816 Eu
0.9085 0.0000 0.6817 Eu
0.0915 0.5000 0.3184 Eu
0.5915 0.0000 0.1816 Eu
0.0001 0.7500 0.0000 Sn
0.4999 0.7500 0.5000 Sn
0.9999 0.2500 0.0000 Sn
0.5001 0.2500 0.5000 Sn
```

Results
Magnetization ... 1.9611 μB per atom
D(E_F) ... 18.1 states/eV/f.u.
DFT total energy ... -2.0258 Ry per atom



(11)
A plane-wave DFT calculation with SCAN was carried out for a PBEsol-optimized structure of CaMnOs.

The structure in POSCAR format:
```
CaMnOs
1.0
-0.7903 -2.6652 0.8764
1.9935 0.3110 -2.1037
5.0384 0.0800 4.7863
Ca Os Mn
1 1 1
Direct
0.0000 0.0000 0.0090 Ca
0.6667 0.3333 0.3629 Os
0.3333 0.6667 0.6281 Mn
```

Results
Magnetization ... 1.0996 μB per atom
D(E_F) ... 1.9 states/eV/f.u.
Formation energy ... 55 kJ/mol of atoms
DFT total energy ... -2.4031 Ry per atom



(12)
A plane-wave DFT calculation with SCAN was carried out for a PBEsol-optimized structure of KBeW2.

The structure in POSCAR format:
```
KBeW2
1.0
2.5811 0.0000 0.0000
0.0000 4.8657 0.0000
-1.2906 -2.4328 5.4779
W K Be
2 1 1
Direct
0.7948 0.7948 0.5896 W
0.2052 0.2052 0.4104 W
0.0000 0.5000 0.0000 K
0.5000 0.0000 0.0000 Be
```

Results
Magnetization ... 0.0000 μB per atom
D(E_F) ... 2.1 states/eV/f.u.
Formation energy ... 102 kJ/mol of atoms
DFT total energy ... -2.7163 Ry per atom



(13)
A plane-wave DFT calculation with SCAN was carried out for a PBEsol-optimized structure of SrS.

The structure in POSCAR format:
```
SrS
1.0
4.2262 0.0000 0.0000
2.1131 3.6600 0.0000
2.1131 1.2200 3.4507
Sr S
1 1
Direct
0.0000 0.0000 0.0000 Sr
0.5000 0.5000 0.5000 S
```

Results
Magnetization ... 0.0000 μB per atom
D(E_F) ... 0.0 states/eV/f.u.
DFT total energy ... -1.3524 Ry per atom



(14)
A plane-wave DFT calculation with SCAN was carried out for a PBEsol-optimized structure of FeCo4.

The structure in POSCAR format:
```
FeCo4
1.0
-1.5159 2.2492 0.5132
-2.3025 -1.5136 -0.1673
2.2770 -1.6863 6.6925
Co Fe
4 1
Direct
0.7014 0.7014 0.4027 Co
0.9013 0.9013 0.8025 Co
0.2986 0.2986 0.5973 Co
0.0987 0.0987 0.1975 Co
0.5000 0.5000 0.0000 Fe
```

Results
Magnetization ... 2.0498 μB per atom
D(E_F) ... 3.9 states/eV/f.u.
Formation energy ... -8 kJ/mol of atoms
DFT total energy ... -1.2901 Ry per atom



(15)
A plane-wave DFT calculation with SCAN was carried out for a PBEsol-optimized structure of LiPbS2.

The structure in POSCAR format:
```
LiPbS2
1.0
5.7143 0.0000 0.0000
0.0000 5.7143 0.0000
-2.8572 -2.8572 6.1719
Pb S Li
2 4 2
Direct
0.0000 0.0000 0.0000 Pb
0.2500 0.7500 0.5000 Pb
0.8401 0.3750 0.2500 S
0.1250 0.1599 0.7500 S
0.4099 0.8750 0.2500 S
0.6250 0.5901 0.7500 S
0.7500 0.2500 0.5000 Li
0.5000 0.5000 0.0000 Li
```

Results
Magnetization ... 0.0000 μB per atom
D(E_F) ... 2.8 states/eV/f.u.
DFT total energy ... -1.8381 Ry per atom



(16)
A plane-wave DFT calculation with SCAN was carried out for a PBEsol-optimized structure of Ca2SnO.

The structure in POSCAR format:
```
Ca2SnO
1.0
5.0654 0.0000 0.0000
2.5327 4.3867 0.0000
2.5327 1.4622 4.1359
Ca O Sn
2 1 1
Direct
0.7500 0.7500 0.7500 Ca
0.2500 0.2500 0.2500 Ca
0.0000 0.0000 0.0000 O
0.5000 0.5000 0.5000 Sn
```

Results
Magnetization ... 0.5039 μB per atom
D(E_F) ... 1.8 states/eV/f.u.
DFT total energy ... -1.1798 Ry per atom



(17)
A plane-wave DFT calculation with SCAN was carried out for a PBEsol-optimized structure of MgZnFe2N.

The structure in POSCAR format:
```
MgZnFe2N
1.0
-0.3741 -3.4625 -1.1290
4.2325 0.1338 -1.8129
1.7559 -1.4905 3.9893
Zn Mg Fe N
1 1 2 1
Direct
0.5000 0.5000 0.5000 Zn
0.0000 0.0000 0.0000 Mg
0.0000 0.0000 0.5000 Fe
0.0000 0.5000 0.0000 Fe
0.5000 0.0000 0.0000 N
```

Results
Magnetization ... 1.1979 μB per atom
D(E_F) ... 4.2 states/eV/f.u.
DFT total energy ... -0.8346 Ry per atom



(18)
A plane-wave DFT calculation with SCAN was carried out for a PBEsol-optimized structure of Al2InBr.

The structure in POSCAR format:
```
Al2InBr
1.0
-0.5283 1.9398 2.5725
0.4317 -4.1918 3.2496
5.0014 1.9455 -2.5118
Br Al In
1 2 1
Direct
0.5260 0.5260 0.0521 Br
0.9790 0.9790 0.9580 Al
0.2583 0.7583 0.5165 Al
0.7367 0.2367 0.4735 In
```

Results
Magnetization ... 0.0000 μB per atom
D(E_F) ... 2.2 states/eV/f.u.
DFT total energy ... -1.2450 Ry per atom



(19)
A plane-wave DFT calculation with SCAN was carried out for a PBEsol-optimized structure of CuTe2W.

The structure in POSCAR format:
```
CuTe2W
1.0
3.4617 -0.2102 0.0000
-1.4247 5.1131 0.0000
0.0000 0.0000 4.3360
W Te Cu
1 2 1
Direct
0.2974 0.4694 0.0000 W
0.0115 0.8974 0.0000 Te
0.7264 0.3279 0.5000 Te
0.4647 0.8052 0.5000 Cu
```

Results
Magnetization ... 0.0000 μB per atom
D(E_F) ... 2.3 states/eV/f.u.
DFT total energy ... -2.8945 Ry per atom



(20)
A plane-wave DFT calculation with SCAN was carried out for a PBEsol-optimized structure of AgPb.

The structure in POSCAR format:
```
AgPb
1.0
3.6432 0.0000 0.0000
0.0000 4.6100 0.0000
-1.8216 0.0000 5.4412
Ag Pb
2 2
Direct
0.0760 0.2500 0.1520 Ag
0.9240 0.7500 0.8480 Ag
0.3502 0.2500 0.7003 Pb
0.6498 0.7500 0.2997 Pb
```

Results
Magnetization ... 0.0000 μB per atom
D(E_F) ... 0.6 states/eV/f.u.
Formation energy ... 8 kJ/mol of atoms
DFT total energy ... -3.9312 Ry per atom



(21)
A plane-wave DFT calculation with SCAN was carried out for a PBEsol-optimized structure of AsIr2Se.

The structure in POSCAR format:
```
AsIr2Se
1.0
-1.0336 -4.8984 -2.1432
-1.4040 -1.8576 4.9228
-4.0259 4.8896 -2.3152
Ir As Se
4 2 2
Direct
0.1250 0.1260 0.7500 Ir
0.6250 0.6240 0.7500 Ir
0.8740 0.3750 0.2500 Ir
0.3760 0.8750 0.2500 Ir
0.7500 0.2500 0.5000 As
0.5000 0.5000 0.0000 As
0.2500 0.7500 0.5000 Se
0.0000 0.0000 0.0000 Se
```

Results
Magnetization ... 0.0000 μB per atom
D(E_F) ... 2.2 states/eV/f.u.
DFT total energy ... -3.3457 Ry per atom



(22)
A plane-wave DFT calculation with SCAN was carried out for a PBEsol-optimized structure of AlInFe3.

The structure in POSCAR format:
```
AlInFe3
1.0
-2.9390 2.5105 -1.8528
-0.0962 -2.6170 -3.3934
-3.1187 -2.2852 1.8507
Fe In Al
3 1 1
Direct
0.0000 0.5000 0.0000 Fe
0.5000 0.0000 0.0000 Fe
0.0000 0.0000 0.5000 Fe
0.5000 0.5000 0.5000 In
0.0000 0.0000 0.0000 Al
```

Results
Magnetization ... 1.3670 μB per atom
D(E_F) ... 9.2 states/eV/f.u.
Formation energy ... 84 kJ/mol of atoms
DFT total energy ... -1.3399 Ry per atom



(23)
A plane-wave DFT calculation with SCAN was carried out for a PBEsol-optimized structure of Cs3Cu2Bi5S10.

The structure in POSCAR format:
```
Cs3Cu2Bi5S10
1.0
-2.2583 -3.3322 -0.2638
6.7662 -3.5698 -12.8312
12.3346 -9.0740 9.0287
S Cs Bi Cu
20 6 10 4
Direct
0.0000 0.6168 0.5567 S
0.5000 0.1772 0.5284 S
0.0000 0.2071 0.7245 S
0.0000 0.1355 0.3476 S
0.5000 0.8832 0.0567 S
0.5000 0.8228 0.4716 S
0.5000 0.2929 0.2245 S
0.5000 0.5963 0.3641 S
0.5000 0.1168 0.9433 S
0.5000 0.4037 0.6359 S
0.5000 0.7071 0.7755 S
0.0000 0.3228 0.0284 S
0.0000 0.9037 0.8641 S
0.0000 0.3832 0.4433 S
0.0000 0.0963 0.1359 S
0.5000 0.6355 0.1524 S
0.5000 0.3645 0.8476 S
0.0000 0.6772 0.9716 S
0.0000 0.7929 0.2755 S
0.0000 0.8645 0.6524 S
0.0000 0.0000 0.5000 Cs
0.0000 0.4764 0.2482 Cs
0.0000 0.5236 0.7518 Cs
0.5000 0.0236 0.7482 Cs
0.5000 0.5000 0.0000 Cs
0.5000 0.9764 0.2518 Cs
0.5000 0.7556 0.6103 Bi
0.5000 0.7872 0.9109 Bi
0.5000 0.5000 0.5000 Bi
0.5000 0.2444 0.3897 Bi
0.0000 0.2556 0.8897 Bi
0.0000 0.7444 0.1103 Bi
0.0000 0.7128 0.4109 Bi
0.0000 0.2872 0.5891 Bi
0.0000 0.0000 0.0000 Bi
0.5000 0.2128 0.0891 Bi
0.5000 0.2834 0.7363 Cu
0.0000 0.7834 0.7637 Cu
0.0000 0.2166 0.2363 Cu
0.5000 0.7166 0.2637 Cu
```

Results
Magnetization ... 0.0000 μB per atom
DFT total energy ... -2.3716 Ry per atom



(24)
A plane-wave DFT calculation with SCAN was carried out for a PBEsol-optimized structure of NaZnP2O.

The structure in POSCAR format:
```
NaZnP2O
1.0
3.5811 0.0000 0.0000
0.0000 4.9630 0.0000
0.0000 0.0000 4.9630
O Zn Na P
1 1 1 2
Direct
0.5000 0.0000 0.0000 O
0.0000 0.0000 0.0000 Zn
0.5000 0.5000 0.5000 Na
0.0000 0.0000 0.5000 P
0.0000 0.5000 0.0000 P
```

Results
Magnetization ... 0.0001 μB per atom
D(E_F) ... 3.4 states/eV/f.u.
DFT total energy ... -0.6343 Ry per atom



(25)
A plane-wave DFT calculation with SCAN was carried out for a PBEsol-optimized structure of CsKNa2.

The structure in POSCAR format:
```
CsKNa2
1.0
6.9431 0.0000 0.0000
3.4716 6.0129 0.0000
3.4716 2.0043 5.6690
Na Cs K
2 1 1
Direct
0.7500 0.7500 0.7500 Na
0.2500 0.2500 0.2500 Na
0.5000 0.5000 0.5000 Cs
0.0000 0.0000 0.0000 K
```

Results
Magnetization ... 0.0114 μB per atom
D(E_F) ... 2.6 states/eV/f.u.
Formation energy ... 4 kJ/mol of atoms
DFT total energy ... -0.9997 Ry per atom